The following is a DFT calculation (GGA-PBE) of an optimized crystal structure of LiSm5Tl6.

## Properties
total energy	-3.665	eV per atom
DOS at the Fermi energy	17.529	states/eV per cell
energy of formation	-0.356	eV/atom

Lattice parameters (Å, degrees): 5.378 16.213 7.658 90.00 90.00 90.00
Space group Cmmm (No. 65)
Unique sites:
Li1 0.000 0.000 0.000 (multiplicity 2)
Sm1 0.000 0.000 0.500 (multiplicity 2)
Sm2 0.000 0.332 0.500 (multiplicity 4)
Sm3 0.000 0.338 0.000 (multiplicity 4)
Tl1 0.000 0.161 0.241 (multiplicity 8)
Tl2 0.000 0.500 0.241 (multiplicity 4)